No. 1
A geometry-optimized Tb3Dy4Cd4 structure, computed with PBE.

Output
The density of states at the Fermi level is 9.8 states/eV/cell. The value obtained for the formation energy from the elements is -0.093 eV per atom. As for the symmetry: Immm, No. 71.

Cell: 5.3183 6.9963 9.6173 Å, 111.33 106.05 90.00°
With the nearest neighbours (Å) after each atom.
Fractional positions:
Tb: 0.1028 0.1028 0.2056  6 Cd 3.50-3.71, 4 Dy 3.50, 3 Tb 3.52-3.92
Tb: 0.8972 0.8972 0.7944  6 Cd 3.50-3.71, 4 Dy 3.50, 3 Tb 3.52-3.92
Tb: 0.0000 0.5000 0.0000  6 Cd 3.01-3.35
Dy: 0.3179 0.0804 0.6358  4 Cd 3.05-3.14, 1 Dy 3.32
Dy: 0.3179 0.5554 0.6358  4 Cd 3.05-3.14, 1 Dy 3.32
Dy: 0.6821 0.9196 0.3642  4 Cd 3.05-3.14, 1 Dy 3.32
Dy: 0.6821 0.4446 0.3642  4 Cd 3.05-3.14, 1 Dy 3.32
Cd: 0.1757 0.6757 0.3513  1 Tb 3.01, 6 Dy 3.05-3.14
Cd: 0.5000 0.2080 0.0000  1 Cd 2.91, 2 Dy 3.14
Cd: 0.5000 0.7920 0.0000  1 Cd 2.91, 2 Dy 3.14
Cd: 0.8243 0.3243 0.6487  1 Tb 3.01, 6 Dy 3.05-3.14

***

No. 2
A geometry-optimized Tb8DyCd6 structure, computed with PBE.

Output
The density of states at the Fermi level is 18.4 states/eV/cell. The value obtained for the formation energy from the elements is -0.074 eV per atom. As for the symmetry: R-3, No. 148.

Cell: 8.9913 8.9913 8.2344 Å, 56.91 56.91 60.00°
With the nearest neighbours (Å) after each atom.
Fractional positions:
Cd: 0.9488 0.2813 0.1538  1 Dy 3.15, 7 Tb 3.16-3.25
Cd: 0.3839 0.0512 0.8462  1 Dy 3.15, 7 Tb 3.16-3.25
Cd: 0.6161 0.9488 0.1538  1 Dy 3.15, 7 Tb 3.16-3.25
Cd: 0.2813 0.6161 0.1538  1 Dy 3.15, 7 Tb 3.16-3.25
Cd: 0.7187 0.3839 0.8462  1 Dy 3.15, 7 Tb 3.16-3.25
Cd: 0.0512 0.7187 0.8462  1 Dy 3.15, 7 Tb 3.16-3.25
Dy: 0.0000 0.0000 0.0000  6 Cd 3.15
Tb: 0.3336 0.3336 0.9993  6 Cd 3.16
Tb: 0.8838 0.5498 0.3494  5 Cd 3.18-3.25
Tb: 0.2171 0.8838 0.3494  5 Cd 3.18-3.25
Tb: 0.7829 0.1162 0.6506  5 Cd 3.18-3.25
Tb: 0.6664 0.6664 0.0007  6 Cd 3.16
Tb: 0.4502 0.7829 0.6506  5 Cd 3.18-3.25
Tb: 0.5498 0.2171 0.3494  5 Cd 3.18-3.25
Tb: 0.1162 0.4502 0.6506  5 Cd 3.18-3.25

***

No. 3
A geometry-optimized TbDyCd5 structure, computed with PBE.

Output
The density of states at the Fermi level is 4.6 states/eV/cell. The value obtained for the formation energy from the elements is -0.096 eV per atom. As for the symmetry: P4/mmm, No. 123.

Cell: 5.1287 5.1286 6.9498 Å, 90.00 90.00 90.00°
With the nearest neighbours (Å) after each atom.
Fractional positions:
Cd: 0.5000 0.0000 0.7661  2 Dy 3.04, 3 Cd 3.16-3.25, 2 Tb 3.16
Cd: 0.0000 0.5000 0.2339  2 Dy 3.04, 2 Tb 3.16, 3 Cd 3.16-3.25
Cd: 0.5000 0.0000 0.2339  2 Dy 3.04, 3 Cd 3.16-3.25, 2 Tb 3.16
Cd: 0.5000 0.5000 0.5000  8 Cd 3.16, 2 Dy 3.47
Cd: 0.0000 0.5000 0.7661  2 Dy 3.04, 2 Tb 3.16, 3 Cd 3.16-3.25
Dy: 0.5000 0.5000 0.0000  8 Cd 3.04
Tb: 0.0000 0.0000 0.5000  8 Cd 3.16

***

No. 4
A geometry-optimized Tb4DyCd structure, computed with PBE.

Output
The density of states at the Fermi level is 8.1 states/eV/cell. The value obtained for the formation energy from the elements is -0.092 eV per atom. As for the symmetry: P4/mmm, No. 123. The calculation puts the polymorph energy (0 for the lowest one) at 0.00 kcal/mol of atoms.

Cell: 3.5710 3.5710 14.1712 Å, 90.00 90.00 90.00°
With the nearest neighbours (Å) after each atom.
Fractional positions:
Tb: 0.5000 0.5000 0.8233  8 Tb 3.55-3.57, 4 Dy 3.56
Tb: 0.5000 0.5000 0.1767  8 Tb 3.55-3.57, 4 Dy 3.56
Tb: 0.0000 0.0000 0.3528  4 Cd 3.27, 8 Tb 3.55-3.57
Tb: 0.0000 0.0000 0.6472  4 Cd 3.27, 8 Tb 3.55-3.57
Cd: 0.5000 0.5000 0.5000  8 Tb 3.27, 4 Cd 3.57
Dy: 0.0000 0.0000 0.0000  8 Tb 3.56, 4 Dy 3.57

***

No. 5
A geometry-optimized Tb2Dy3Cd3 structure, computed with PBE.

Output
The density of states at the Fermi level is 9.3 states/eV/cell. The value obtained for the formation energy from the elements is -0.236 eV per atom. As for the symmetry: Immm, No. 71.

Cell: 3.7360 5.3430 11.5709 Å, 103.35 99.29 90.00°
With the nearest neighbours (Å) after each atom.
Fractional positions:
Tb: 0.2666 0.7666 0.5332  2 Cd 3.20, 4 Tb 3.34
Tb: 0.7334 0.2334 0.4668  2 Cd 3.20, 4 Tb 3.34
Cd: 0.1165 0.1165 0.2329  6 Dy 3.19-3.26, 2 Tb 3.20
Cd: 0.0000 0.5000 0.0000  8 Dy 3.26-3.30
Cd: 0.8835 0.8835 0.7671  6 Dy 3.19-3.26, 2 Tb 3.20
Dy: 0.6226 0.6226 0.2453  6 Cd 3.26-3.30, 2 Tb 3.63
Dy: 0.3774 0.3774 0.7547  6 Cd 3.26-3.30, 2 Tb 3.63
Dy: 0.5000 0.0000 0.0000  8 Cd 3.19-3.26

***

No. 6
A geometry-optimized Tb4Dy5Cd structure, computed with PBE.

Output
The density of states at the Fermi level is 12.1 states/eV/cell. The value obtained for the formation energy from the elements is 0.139 eV per atom. As for the symmetry: I4mm, No. 107. The calculation puts the polymorph energy (0 for the lowest one) at 1.84 kcal/mol of atoms.

Cell: 5.7305 8.0148 8.0148 Å, 82.66 69.05 69.05°
With the nearest neighbours (Å) after each atom.
Fractional positions:
Dy: 0.1382 0.0000 0.6305  1 Cd 3.06, 1 Dy 3.23, 2 Tb 3.34
Dy: 0.6608 0.0000 0.0000  2 Cd 2.75-2.98
Dy: 0.1382 0.6305 0.0000  1 Cd 3.06, 1 Dy 3.23, 2 Tb 3.34
Dy: 0.7687 0.3695 0.0000  1 Cd 3.06, 1 Dy 3.23, 2 Tb 3.34
Dy: 0.7687 0.0000 0.3695  1 Cd 3.06, 1 Dy 3.23, 2 Tb 3.34
Tb: 0.7836 0.6801 0.6801  5 Dy 3.34-3.71
Tb: 0.4637 0.6801 0.3199  5 Dy 3.34-3.71
Tb: 0.1438 0.3199 0.3199  5 Dy 3.34-3.71
Tb: 0.4637 0.3199 0.6801  5 Dy 3.34-3.71
Cd: 0.1808 0.0000 0.0000  6 Dy 2.75-3.06

***

No. 7
A geometry-optimized Tb2Dy7Cd2 structure, computed with PBE.

Output
The density of states at the Fermi level is 14.3 states/eV/cell. The value obtained for the formation energy from the elements is 0.038 eV per atom. As for the symmetry: C2/m, No. 12.

Cell: 8.0300 6.5828 6.5828 Å, 92.49 80.09 80.09°
With the nearest neighbours (Å) after each atom.
Fractional positions:
Dy: 0.0000 0.0000 0.0000  4 Dy 3.38, 2 Cd 3.51
Dy: 0.5344 0.3085 0.3085  1 Cd 2.92
Dy: 0.1745 0.5238 0.1152  3 Cd 3.13-3.48, 3 Dy 3.38-3.46, 1 Tb 3.40
Dy: 0.8255 0.8848 0.4762  3 Cd 3.13-3.48, 3 Dy 3.38-3.46, 1 Tb 3.40
Dy: 0.4656 0.6915 0.6915  1 Cd 2.92
Dy: 0.8255 0.4762 0.8848  3 Cd 3.13-3.48, 3 Dy 3.38-3.46, 1 Tb 3.40
Dy: 0.1745 0.1152 0.5238  3 Cd 3.13-3.48, 3 Dy 3.38-3.46, 1 Tb 3.40
Cd: 0.8594 0.3968 0.3968  5 Dy 2.92-3.19
Cd: 0.1406 0.6032 0.6032  5 Dy 2.92-3.19
Tb: 0.5000 0.1785 0.8215  8 Dy 3.35-3.59, 1 Tb 3.40
Tb: 0.5000 0.8215 0.1785  8 Dy 3.35-3.59, 1 Tb 3.40

***

No. 8
A geometry-optimized Tb2Dy3Cd6 structure, computed with PBE.

Output
The density of states at the Fermi level is 9.3 states/eV/cell. The value obtained for the formation energy from the elements is 0.106 eV per atom. As for the symmetry: I4/mmm, No. 139.

Cell: 4.9581 4.9581 14.3645 Å, 99.94 99.94 90.00°
With the nearest neighbours (Å) after each atom.
Fractional positions:
Tb: 0.3656 0.3656 0.7312  5 Cd 3.14-3.18, 4 Dy 3.51
Tb: 0.6344 0.6344 0.2688  5 Cd 3.14-3.18, 4 Dy 3.51
Cd: 0.0653 0.5653 0.1306  4 Dy 3.08-3.19, 2 Tb 3.14
Cd: 0.5653 0.0653 0.1306  4 Dy 3.08-3.19, 2 Tb 3.14
Cd: 0.9347 0.4347 0.8694  4 Dy 3.08-3.19, 2 Tb 3.14
Cd: 0.4347 0.9347 0.8694  4 Dy 3.08-3.19, 2 Tb 3.14
Cd: 0.2515 0.2515 0.5030  1 Tb 3.18, 1 Dy 3.18, 4 Cd 3.51
Cd: 0.7485 0.7485 0.4970  1 Tb 3.18, 1 Dy 3.18, 4 Cd 3.51
Dy: 0.1373 0.1373 0.2746  5 Cd 3.18-3.19, 4 Tb 3.51
Dy: 0.0000 0.0000 0.0000  8 Cd 3.08
Dy: 0.8627 0.8627 0.7254  5 Cd 3.18-3.19, 4 Tb 3.51

***

No. 9
A geometry-optimized TbDy2Cd2 structure, computed with PBE.

Output
The density of states at the Fermi level is 11.0 states/eV/cell. The value obtained for the formation energy from the elements is -0.177 eV per atom. As for the symmetry: Cmc2_1, No. 36. The calculation puts the polymorph energy (0 for the lowest one) at 1.89 kcal/mol of atoms.

Cell: 5.4032 6.4128 8.4416 Å, 90.00 108.66 90.00°
With the nearest neighbours (Å) after each atom.
Fractional positions:
Dy: 0.1945 0.6523 0.3889  6 Cd 3.05-3.34
Dy: 0.8056 0.1523 0.6111  6 Cd 3.05-3.34
Dy: 0.0322 0.2374 0.0645  3 Cd 3.01-3.23, 2 Dy 3.37
Dy: 0.9678 0.7375 0.9355  3 Cd 3.01-3.23, 2 Dy 3.37
Tb: 0.4149 0.4090 0.8298  4 Cd 3.21-3.56, 4 Dy 3.47-3.53
Tb: 0.5851 0.9090 0.1702  4 Cd 3.21-3.56, 4 Dy 3.47-3.53
Cd: 0.2172 0.1526 0.4345  5 Dy 3.01-3.23, 1 Cd 3.05
Cd: 0.6174 0.4143 0.2348  1 Cd 3.05, 3 Tb 3.21-3.28, 4 Dy 3.23-3.34
Cd: 0.3826 0.9143 0.7652  1 Cd 3.05, 3 Tb 3.21-3.28, 4 Dy 3.23-3.34
Cd: 0.7827 0.6526 0.5655  5 Dy 3.01-3.23, 1 Cd 3.05

***

No. 10
A geometry-optimized TbDyCdTc structure, computed with PBE.

Output
The density of states at the Fermi level is 2.8 states/eV/cell. The value obtained for the formation energy from the elements is -0.091 eV per atom. As for the symmetry: F-43m, No. 216.

Cell: 5.0487 5.0487 5.0487 Å, 60.00 60.00 60.00°
With the nearest neighbours (Å) after each atom.
Fractional positions:
Tc: 0.2500 0.2500 0.2500  4 Dy 3.09, 4 Tb 3.09
Dy: 0.0000 0.0000 0.0000  4 Cd 3.09, 4 Tc 3.09
Tb: 0.5000 0.5000 0.5000  4 Cd 3.09, 4 Tc 3.09
Cd: 0.7500 0.7500 0.7500  4 Dy 3.09, 4 Tb 3.09

***

No. 11
A geometry-optimized TbDyTiCd structure, computed with PBE.

Output
The density of states at the Fermi level is 7.0 states/eV/cell. The value obtained for the formation energy from the elements is 0.041 eV per atom. As for the symmetry: F-43m, No. 216.

Cell: 5.2350 5.2350 5.2350 Å, 60.00 60.00 60.00°
With the nearest neighbours (Å) after each atom.
Fractional positions:
Cd: 0.7500 0.7500 0.7500  4 Tb 3.21, 4 Dy 3.21
Ti: 0.2500 0.2500 0.2500  4 Dy 3.21, 4 Tb 3.21
Tb: 0.5000 0.5000 0.5000  4 Ti 3.21, 4 Cd 3.21
Dy: 0.0000 0.0000 0.0000  4 Cd 3.21, 4 Ti 3.21

***

No. 12
A geometry-optimized Tb2DyTl2Cd2 structure, computed with PBE.

Output
The density of states at the Fermi level is 4.6 states/eV/cell. The value obtained for the formation energy from the elements is -0.128 eV per atom. As for the symmetry: R-3m, No. 166.

Cell: 5.0084 5.0084 9.1994 Å, 74.20 74.20 60.00°
With the nearest neighbours (Å) after each atom.
Fractional positions:
Tb: 0.8678 0.8678 0.3965  3 Cd 3.08, 3 Tb 3.41, 3 Tl 3.42
Tb: 0.1322 0.1322 0.6035  3 Cd 3.08, 3 Tb 3.41, 3 Tl 3.42
Tl: 0.2709 0.2709 0.1873  3 Cd 2.99, 3 Dy 3.32
Tl: 0.7291 0.7291 0.8127  3 Cd 2.99, 3 Dy 3.32
Cd: 0.4249 0.4249 0.7252  3 Tl 2.99, 3 Tb 3.08
Cd: 0.5751 0.5751 0.2748  3 Tl 2.99, 3 Tb 3.08
Dy: 0.0000 0.0000 0.0000  6 Tl 3.32, 2 Tb 3.46